[1]
A relaxed structure of DyTiZnAg, computed with PBE.

Computed properties:
- energy relative to the elements (eV/atom) = -0.0758
- density (Mg/m³) = 7.9
- size of the total moment (μB per formula unit) = 1.67
- DOS at the Fermi energy (states/eV per atom) = 0.82
- crystal system = cubic

```
data_DyTiZnAg
_symmetry_space_group_name_H-M 'F -4 3 m'
_symmetry_Int_Tables_number 216
_symmetry_space_group_name_Hall 'F -4 2 3'
_cell_length_a 6.8605
_cell_length_b 6.8605
_cell_length_c 6.8605
_cell_angle_alpha 90.00
_cell_angle_beta 90.00
_cell_angle_gamma 90.00
loop_
_atom_site_label
_atom_site_fract_x
_atom_site_fract_y
_atom_site_fract_z
Dy1 0.0000 0.0000 0.0000
Ti1 0.0000 0.0000 0.5000
Zn1 0.2500 0.2500 0.2500
Ag1 0.2500 0.2500 0.7500
```



[2]
A relaxed structure of Dy6TlAg5, computed with PBE.

Computed properties:
- energy relative to the elements (eV/atom) = -0.3228
- density (Mg/m³) = 9.7
- size of the total moment (μB per formula unit) = 0.00
- DOS at the Fermi energy (states/eV per atom) = 0.57
- crystal system = orthorhombic

```
data_Dy6TlAg5
_symmetry_space_group_name_H-M 'C m m m'
_symmetry_Int_Tables_number 65
_symmetry_space_group_name_Hall '-C 2 2'
_cell_length_a 5.1625
_cell_length_b 15.4751
_cell_length_c 7.3927
_cell_angle_alpha 90.00
_cell_angle_beta 90.00
_cell_angle_gamma 90.00
loop_
_atom_site_label
_atom_site_fract_x
_atom_site_fract_y
_atom_site_fract_z
Dy1 0.0000 0.0000 0.2414
Dy2 0.0000 0.3306 0.2459
Tl1 0.0000 0.5000 0.5000
Ag1 0.0000 0.1645 0.5000
Ag2 0.0000 0.1661 0.0000
Ag3 0.0000 0.5000 0.0000
```



[3]
A relaxed structure of Dy5Tl4Ag, computed with PBE.

Computed properties:
- energy relative to the elements (eV/atom) = -0.3473
- density (Mg/m³) = 10.8
- size of the total moment (μB per formula unit) = 0.01
- DOS at the Fermi energy (states/eV per atom) = 0.65
- crystal system = tetragonal

```
data_Dy5Tl4Ag
_symmetry_space_group_name_H-M 'P 4/m m m'
_symmetry_Int_Tables_number 123
_symmetry_space_group_name_Hall '-P 4 2'
_cell_length_a 3.6232
_cell_length_b 3.6232
_cell_length_c 20.3005
_cell_angle_alpha 90.00
_cell_angle_beta 90.00
_cell_angle_gamma 90.00
loop_
_atom_site_label
_atom_site_fract_x
_atom_site_fract_y
_atom_site_fract_z
Dy1 0.0000 0.0000 0.0000
Dy2 0.0000 0.0000 0.2061
Dy3 0.0000 0.0000 0.4105
Tl1 0.5000 0.5000 0.1029
Tl2 0.5000 0.5000 0.3086
Ag1 0.5000 0.5000 0.5000
```



[4]
A relaxed structure of DyTlAg3, computed with PBE.

Computed properties:
- energy relative to the elements (eV/atom) = -0.0009
- density (Mg/m³) = 10.0
- size of the total moment (μB per formula unit) = 0.00
- DOS at the Fermi energy (states/eV per atom) = 0.53
- crystal system = orthorhombic

```
data_DyTlAg3
_symmetry_space_group_name_H-M 'C m m m'
_symmetry_Int_Tables_number 65
_symmetry_space_group_name_Hall '-C 2 2'
_cell_length_a 4.7238
_cell_length_b 28.6654
_cell_length_c 3.3835
_cell_angle_alpha 90.00
_cell_angle_beta 90.00
_cell_angle_gamma 90.00
loop_
_atom_site_label
_atom_site_fract_x
_atom_site_fract_y
_atom_site_fract_z
Dy1 0.0000 0.1796 0.0000
Tl1 0.0000 0.3745 0.5000
Ag1 0.0000 0.0531 0.5000
Ag2 0.0000 0.2741 0.5000
Ag3 0.0000 0.4540 0.0000
```



[5]
A relaxed structure of Dy4Tl3Ag, computed with PBE.

Computed properties:
- energy relative to the elements (eV/atom) = -0.2921
- density (Mg/m³) = 10.4
- offset from the most stable computed form (eV/f.u.) = 0.37
- size of the total moment (μB per formula unit) = 0.00
- DOS at the Fermi energy (states/eV per atom) = 0.92
- crystal system = orthorhombic

```
data_Dy4Tl3Ag
_symmetry_space_group_name_H-M 'P m m 2'
_symmetry_Int_Tables_number 25
_cell_length_a 3.8214
_cell_length_b 4.8638
_cell_length_c 11.7898
_cell_angle_alpha 90.00
_cell_angle_beta 90.00
_cell_angle_gamma 90.00
loop_
_symmetry_equiv_pos_as_xyz
'x,y,z'
'-x,-y,z'
'-x,y,z'
'x,-y,z'
loop_
_atom_site_label
_atom_site_fract_x
_atom_site_fract_y
_atom_site_fract_z
Dy1 0.0000 0.0000 0.0000
Dy2 0.0000 0.5000 0.2816
Dy3 0.5000 0.0000 0.4767
Dy4 0.5000 0.5000 0.7881
Tl1 0.0000 0.0000 0.7262
Tl2 0.0000 0.5000 0.5482
Tl3 0.5000 0.5000 0.0542
Ag1 0.5000 0.0000 0.2181
```



[6]
A relaxed structure of Dy8Tl5Ag, computed with PBE.

Computed properties:
- energy relative to the elements (eV/atom) = -0.2224
- density (Mg/m³) = 10.1
- size of the total moment (μB per formula unit) = 0.00
- DOS at the Fermi energy (states/eV per atom) = 1.26
- crystal system = tetragonal

```
data_Dy8Tl5Ag
_symmetry_space_group_name_H-M 'I -4'
_symmetry_Int_Tables_number 82
_cell_length_a 9.2693
_cell_length_b 9.2693
_cell_length_c 9.3404
_cell_angle_alpha 90.00
_cell_angle_beta 90.00
_cell_angle_gamma 90.00
loop_
_symmetry_equiv_pos_as_xyz
'x,y,z'
'y,-x,-z'
'-x,-y,z'
'-y,x,-z'
'x+1/2,y+1/2,z+1/2'
'y+1/2,-x+1/2,-z+1/2'
'-x+1/2,-y+1/2,z+1/2'
'-y+1/2,x+1/2,-z+1/2'
loop_
_atom_site_label
_atom_site_fract_x
_atom_site_fract_y
_atom_site_fract_z
Dy1 0.0679 0.1827 0.2029
Dy2 0.0786 0.3232 0.5561
Tl1 0.0000 0.0000 0.5000
Tl2 0.1251 0.2510 0.8795
Ag1 0.0000 0.5000 0.2500
```



[7]
A relaxed structure of Dy6Tl3Ag, computed with PBE.

Computed properties:
- energy relative to the elements (eV/atom) = -0.2383
- density (Mg/m³) = 10.2
- size of the total moment (μB per formula unit) = 0.00
- DOS at the Fermi energy (states/eV per atom) = 1.03
- crystal system = monoclinic

```
data_Dy6Tl3Ag
_symmetry_space_group_name_H-M 'P 1 21/m 1'
_symmetry_Int_Tables_number 11
_cell_length_a 9.3819
_cell_length_b 5.3064
_cell_length_c 11.6524
_cell_angle_alpha 90.00
_cell_angle_beta 108.10
_cell_angle_gamma 90.00
loop_
_symmetry_equiv_pos_as_xyz
'x,y,z'
'-x,-y,-z'
'-x,y+1/2,-z'
'x,-y+1/2,z'
loop_
_atom_site_label
_atom_site_fract_x
_atom_site_fract_y
_atom_site_fract_z
Dy1 0.0364 0.2500 0.4091
Dy2 0.1674 0.7500 0.1757
Dy3 0.2660 0.2500 0.0034
Dy4 0.3511 0.7500 0.8174
Dy5 0.3678 0.2500 0.3364
Dy6 0.3997 0.2500 0.6269
Tl1 0.0273 0.7500 0.8857
Tl2 0.1243 0.2500 0.7167
Tl3 0.2786 0.7500 0.4723
Ag1 0.4521 0.7500 0.1070
```



[8]
A relaxed structure of Dy3TlAg, computed with PBE.

Computed properties:
- energy relative to the elements (eV/atom) = -0.1021
- density (Mg/m³) = 9.5
- offset from the most stable computed form (eV/f.u.) = 0.70
- size of the total moment (μB per formula unit) = 0.00
- DOS at the Fermi energy (states/eV per atom) = 1.08
- crystal system = monoclinic

```
data_Dy3TlAg
_symmetry_space_group_name_H-M 'C 1 2/c 1'
_symmetry_Int_Tables_number 15
_cell_length_a 11.8925
_cell_length_b 6.3909
_cell_length_c 14.7809
_cell_angle_alpha 90.00
_cell_angle_beta 96.53
_cell_angle_gamma 90.00
loop_
_symmetry_equiv_pos_as_xyz
'x,y,z'
'-x,-y,-z'
'-x,y,-z+1/2'
'x,-y,z+1/2'
'x+1/2,y+1/2,z'
'-x+1/2,-y+1/2,-z'
'-x+1/2,y+1/2,-z+1/2'
'x+1/2,-y+1/2,z+1/2'
loop_
_atom_site_label
_atom_site_fract_x
_atom_site_fract_y
_atom_site_fract_z
Dy1 0.0658 0.1256 0.1048
Dy2 0.1668 0.1739 0.7957
Dy3 0.1896 0.3431 0.4016
Tl1 0.0591 0.3640 0.5913
Ag1 0.0000 0.3983 0.2500
Ag2 0.2500 0.2500 0.0000
```



[9]
A relaxed structure of Dy4Tl3Ag2, computed with PBE.

Computed properties:
- energy relative to the elements (eV/atom) = -0.2488
- density (Mg/m³) = 10.4
- size of the total moment (μB per formula unit) = 0.00
- DOS at the Fermi energy (states/eV per atom) = 0.67
- crystal system = trigonal

```
data_Dy4Tl3Ag2
_symmetry_space_group_name_H-M 'P -3 m 1'
_symmetry_Int_Tables_number 164
_symmetry_space_group_name_Hall '-P 3 2"'
_cell_length_a 5.1401
_cell_length_b 5.1401
_cell_length_c 10.3051
_cell_angle_alpha 90.00
_cell_angle_beta 90.00
_cell_angle_gamma 120.00
loop_
_atom_site_label
_atom_site_fract_x
_atom_site_fract_y
_atom_site_fract_z
Dy1 0.0000 0.0000 0.1756
Dy2 0.3333 0.6667 0.3888
Tl1 0.0000 0.0000 0.5000
Tl2 0.3333 0.6667 0.0565
Ag1 0.3333 0.6667 0.6880
```



[10]
A relaxed structure of Dy4Tl2Ag, computed with PBE.

Computed properties:
- energy relative to the elements (eV/atom) = -0.1472
- density (Mg/m³) = 9.6
- offset from the most stable computed form (eV/f.u.) = 0.42
- size of the total moment (μB per formula unit) = 0.00
- DOS at the Fermi energy (states/eV per atom) = 0.98
- crystal system = monoclinic

```
data_Dy4Tl2Ag
_symmetry_space_group_name_H-M 'P 1 21/m 1'
_symmetry_Int_Tables_number 11
_cell_length_a 7.0322
_cell_length_b 6.7084
_cell_length_c 9.0623
_cell_angle_alpha 90.00
_cell_angle_beta 109.70
_cell_angle_gamma 90.00
loop_
_symmetry_equiv_pos_as_xyz
'x,y,z'
'-x,-y,-z'
'-x,y+1/2,-z'
'x,-y+1/2,z'
loop_
_atom_site_label
_atom_site_fract_x
_atom_site_fract_y
_atom_site_fract_z
Dy1 0.0863 0.2500 0.0516
Dy2 0.1759 0.0087 0.7268
Dy3 0.3237 0.7500 0.3501
Tl1 0.2070 0.2500 0.4373
Tl2 0.4291 0.7500 0.0350
Ag1 0.4950 0.2500 0.2845
```